# 1
Entry from Alexandria via LeMat-Bulk: a geometry-optimized NiGe2SbC structure (PBE).

Results
DFT total energy (Ry per atom): -0.3676
Calculated volume (Å³ per cell): 83.6
Space-group type: P4/mmm (123)
M_tot (Bohr magnetons per cell): 0.0
ΔE_f (raw) (meV/atom): 671
Fermi-level density of states (states/eV/f.u.): 2.612
Density (g/cm3): 6.708

Geometry as extended XYZ:
```
5
Lattice="4.763 0.000 0.000 0.000 4.763 0.000 0.000 0.000 3.686" Properties=species:S:1:pos:R:3 pbc="T T T"
Ni 0.000 0.000 0.000
Ge 0.000 2.381 1.843
Ge 2.381 0.000 1.843
Sb 2.381 2.381 0.000
C 0.000 0.000 1.843
```

# 2
Entry from Alexandria via LeMat-Bulk: a geometry-optimized NaPm2Nd3S6 structure (PBE).

Results
DFT total energy (Ry per atom): -0.4494
Calculated volume (Å³ per cell): 282.5
Space-group type: C2/m (12)
M_tot (Bohr magnetons per cell): 0.0
ΔE_f (raw) (meV/atom): -1957
Fermi-level density of states (states/eV/f.u.): 4.992
Density (g/cm3): 5.515

Geometry as extended XYZ:
```
12
Lattice="3.503 -6.081 0.000 3.503 6.081 0.000 -2.350 0.000 6.631" Properties=species:S:1:pos:R:3 pbc="T T T"
Na 0.000 0.000 0.000
Pm 3.503 2.017 0.000
Pm 3.503 -2.017 0.000
Nd 2.328 4.088 3.315
Nd 2.328 0.000 3.315
Nd 2.328 -4.088 3.315
S 1.160 2.023 1.643
S -0.028 0.000 5.021
S 1.160 -2.023 1.643
S 3.496 2.023 4.988
S 4.684 0.000 1.610
S 3.496 -2.023 4.988
```

# 3
Entry from Alexandria via LeMat-Bulk: a geometry-optimized NaPaNiSe3 structure (PBE).

Results
DFT total energy (Ry per atom): -0.4152
Calculated volume (Å³ per cell): 283.5
Space-group type: Cmcm (63)
M_tot (Bohr magnetons per cell): 0.1
ΔE_f (raw) (meV/atom): -1141
Fermi-level density of states (states/eV/f.u.): 0.362
Density (g/cm3): 6.437

Geometry as extended XYZ:
```
12
Lattice="1.990 -6.891 0.000 1.990 6.891 0.000 0.000 0.000 10.340" Properties=species:S:1:pos:R:3 pbc="T T T"
Na 1.990 3.502 7.755
Na 1.990 -3.502 2.585
Pa 0.000 0.000 0.000
Pa 0.000 0.000 5.170
Ni 1.990 0.298 2.585
Ni 1.990 -0.298 7.755
Se 1.990 5.783 2.585
Se 1.990 1.854 0.760
Se 1.990 1.854 4.410
Se 1.990 -1.854 5.930
Se 1.990 -1.854 9.580
Se 1.990 -5.783 7.755
```

Among the records above, which one has the highest calculated volume?
NaPaNiSe3

The highest ΔE_f (raw) belongs to which entry?
NiGe2SbC